Density functional theory data (PBE+U) for a relaxed structure of CoH16C12N2O10.

Calculated values
space group	No. 2
E	-6.335	eV per atom

Geometry as POSCAR:
```
CoH16C12N2O10
1.0
6.7330 0.0000 0.0000
2.7466 6.4468 0.0000
2.6482 2.3802 7.8248
Co H C N O
1 16 12 2 10
Cartesian
0.0000 0.0000 0.0000
3.0986 3.2188 4.9171
4.9922 6.0814 6.7886
4.5364 3.8899 6.3500
2.2807 1.3979 0.0847
4.0901 4.4212 1.2845
4.5255 4.1985 3.8008
5.4930 6.1296 2.4882
7.5026 7.2322 7.7317
4.6252 1.5948 0.0931
6.6349 2.6975 5.3366
7.6024 4.6285 4.0240
8.0377 4.4058 6.5403
9.8471 7.4292 7.7401
7.5914 4.9372 1.4748
7.1356 2.7457 1.0362
9.0292 5.6082 2.9077
2.9707 2.1456 4.8159
5.2030 6.6002 5.8541
3.0518 1.5222 3.5705
5.1665 5.9190 4.6344
5.4903 6.6136 3.4649
3.4839 2.3067 2.3740
8.6439 6.5203 5.4508
6.6375 2.2135 4.3599
6.9613 2.9081 3.1904
9.0760 7.3049 4.2543
6.9249 2.2269 1.9707
9.1571 6.6814 3.0089
5.4446 7.9129 5.9340
6.6833 0.9141 1.8908
4.1855 3.7198 7.2527
3.9127 3.4996 2.5655
4.8329 4.6119 4.6879
4.2335 5.1618 0.6189
3.4332 1.7574 1.2380
8.6947 7.0697 6.5868
7.8943 3.6652 7.2059
7.2950 4.2151 3.1369
8.2152 5.3274 5.2593
7.9423 5.1072 0.5721
```